Tc2WSe: optimized geometry, PBE.

Output
Formation energy (no corrections), meV/atom: 216.6
Uncorrected energy, eV for the cell shown: -108.910
Volume, Å³/cell: 186.11
Fermi-level density of states, states/eV/cell: 10.901

a b c (Å): 2.9092 2.9092 25.3919
angles (deg): 90.00 90.00 120.00
Space group R-3m (No. 166, hexagonal axes)
One atom of each set of equivalent atoms:
Tc  0.0000  0.0000  0.2482 x6
W  0.0000  0.0000  0.0000 x3
Se  0.0000  0.0000  0.5000 x3